# 1
Ta5Br: optimized geometry, PBE.

The space group is Amm2 (No. 38) and the conventional cell measures 4.665, 3.327 and 14.430 Å, with angles of 90.00, 90.00 and 90.00 degrees. The inequivalent atoms are Ta at (0.000, 0.000, 0.000), Ta at (0.000, 0.000, 0.321), Ta at (0.000, 0.000, 0.660), Ta at (0.500, 0.000, 0.158), Ta at (0.500, 0.000, 0.813) and Br at (0.500, 0.000, 0.464).

For the energy above the most stable polymorph in this dataset, the calculation gives 29 meV/atom. The density of states at the Fermi level is 5.0 states/eV/f.u. The calculation puts the calculated total energy at -58.6 eV/f.u.


# 2
TaBr2: optimized geometry, PBE.

The space group is P6_3/mmc (No. 194) and the conventional cell measures 4.5406, 4.5406 and 8.6314 Å, with angles of 90.00, 90.00 and 120.00 degrees. The inequivalent atoms are Ta at (0.3333, 0.6667, 0.2500), Br at (0.0000, 0.0000, 0.0000) and Br at (0.3333, 0.6667, 0.7500).

The density of states at the Fermi level is 2.3 states/eV/f.u. The calculation puts the calculated total energy at -13.1 eV/f.u.


# 3
TaBr3: optimized geometry, PBE.

The space group is R-3m (No. 166, hexagonal axes) and the conventional cell measures 3.3242, 3.3242 and 30.4701 Å, with angles of 90.00, 90.00 and 120.00 degrees. The inequivalent atoms are Ta at (0.0000, 0.0000, 0.0000), Br at (0.0000, 0.0000, 0.2722) and Br at (0.0000, 0.0000, 0.5000).

The density of states at the Fermi level is 3.0 states/eV/f.u. The calculation puts the calculated total energy at -17.9 eV/f.u.


# 4
TaBr2: optimized geometry, PBE.

The space group is Fm-3m (No. 225) and the conventional cell measures 6.460, 6.460 and 6.460 Å, with angles of 90.00, 90.00 and 90.00 degrees. The inequivalent atoms are Ta at (0.000, 0.000, 0.000) and Br at (0.250, 0.250, 0.250).

The density of states at the Fermi level is 2.8 states/eV/f.u. The calculation puts the calculated total energy at -14.3 eV/f.u.


# 5
TaBr2: optimized geometry, PBE.

The space group is P4/mmm (No. 123) and the conventional cell measures 4.815, 4.815 and 3.156 Å, with angles of 90.00, 90.00 and 90.00 degrees. The inequivalent atoms are Ta at (0.000, 0.000, 0.000) and Br at (0.000, 0.500, 0.500).

The density of states at the Fermi level is 2.6 states/eV/f.u. The calculation puts the calculated total energy at -14.4 eV/f.u.


# 6
TaBr2: optimized geometry, PBE.

The space group is Pa-3 (No. 205) and the conventional cell measures 6.687, 6.687 and 6.687 Å, with angles of 90.00, 90.00 and 90.00 degrees. The inequivalent atoms are Ta at (0.000, 0.000, 0.000) and Br at (0.154, 0.654, 0.846).

The density of states at the Fermi level is 0.8 states/eV/f.u. The calculation puts the calculated total energy at -14.9 eV/f.u.


# 7
TaBr3: optimized geometry, PBE.

The space group is Cmmm (No. 65) and the conventional cell measures 6.215, 8.650 and 3.358 Å, with angles of 90.00, 90.00 and 90.00 degrees. The inequivalent atoms are Ta at (0.000, 0.000, 0.000), Br at (0.000, 0.500, 0.000) and Br at (0.250, 0.250, 0.500).

The density of states at the Fermi level is 4.5 states/eV/f.u. The calculation puts the calculated total energy at -13.9 eV/f.u.


# 8
TaBr3: optimized geometry, PBE.

The space group is P6_3/mmc (No. 194) and the conventional cell measures 8.7954, 8.7954 and 6.7149 Å, with angles of 90.00, 90.00 and 120.00 degrees. The inequivalent atoms are Ta at (0.0000, 0.0000, 0.0000), Ta at (0.3333, 0.6667, 0.2500), Br at (0.0000, 0.5000, 0.0000) and Br at (0.1287, 0.2574, 0.7500).

The density of states at the Fermi level is 4.1 states/eV/f.u. The calculation puts the calculated total energy at -16.8 eV/f.u.


# 9
TaBr5: optimized geometry, PBE.

The space group is C2/m (No. 12) and the conventional cell measures 21.084, 19.742 and 6.759 Å, with angles of 90.00, 90.95 and 90.00 degrees. The inequivalent atoms are Ta at (0.000, 0.107, 0.000), Ta at (0.167, 0.393, 0.477), Br at (0.048, 0.000, 0.210), Br at (0.053, 0.184, 0.231), Br at (0.072, 0.404, 0.256), Br at (0.095, 0.096, 0.790), Br at (0.114, 0.316, 0.702), Br at (0.119, 0.500, 0.681), Br at (0.215, 0.500, 0.273), Br at (0.220, 0.316, 0.252) and Br at (0.238, 0.096, 0.302).

The density of states at the Fermi level is 0.0 states/eV/f.u. The calculation puts the calculated total energy at -25.7 eV/f.u.


# 10
TaBr3: optimized geometry, PBE.

The space group is Pm-3m (No. 221) and the conventional cell measures 4.530, 4.530 and 4.530 Å, with angles of 90.00, 90.00 and 90.00 degrees. The inequivalent atoms are Ta at (0.000, 0.000, 0.000) and Br at (0.000, 0.500, 0.500).

The density of states at the Fermi level is 3.1 states/eV/f.u. The calculation puts the calculated total energy at -13.7 eV/f.u.


# 11
TaBr2: optimized geometry, PBE.

The space group is Pnnm (No. 58) and the conventional cell measures 6.529, 6.655 and 3.251 Å, with angles of 90.00, 90.00 and 90.00 degrees. The inequivalent atoms are Ta at (0.000, 0.000, 0.000) and Br at (0.223, 0.333, 0.000).

The density of states at the Fermi level is 1.6 states/eV/f.u. The calculation puts the calculated total energy at -15.5 eV/f.u.


# 12
TaBr3: optimized geometry, PBE.

The space group is Imm2 (No. 44) and the conventional cell measures 3.327, 11.697 and 7.021 Å, with angles of 90.00, 90.00 and 90.00 degrees. The inequivalent atoms are Ta at (0.000, 0.000, 0.000), Br at (0.000, 0.351, 0.356) and Br at (0.000, 0.500, 0.788).

The density of states at the Fermi level is 1.9 states/eV/f.u. The calculation puts the calculated total energy at -19.1 eV/f.u.


What did the seventh record say?
TaBr3: optimized geometry, PBE.

The space group is Cmmm (No. 65) and the conventional cell measures 6.215, 8.650 and 3.358 Å, with angles of 90.00, 90.00 and 90.00 degrees. The inequivalent atoms are Ta at (0.000, 0.000, 0.000), Br at (0.000, 0.500, 0.000) and Br at (0.250, 0.250, 0.500).

The density of states at the Fermi level is 4.5 states/eV/f.u. The calculation puts the calculated total energy at -13.9 eV/f.u.